1.
Below is Ce3Ge2Rh after structural relaxation, with properties calculated at the PBE-GGA level.

Summary:
Fermi-level density of states: 18.32 states/eV/cell
DFT formation energy: -591 meV per atom
total magnetic moment: 0.1553 μB per atom
crystal system: monoclinic
uncorrected energy: -37.94 eV per formula unit
ΔE to the lowest computed polymorph: 19.2 kJ/mol of atoms

Lattice parameters (Å, degrees): 7.1849 7.1849 7.3128 99.47 99.47 119.90
Atoms (fractional coordinates):
Ce: 0.0758 0.4202 0.7590
Ce: 0.2336 0.2336 0.2354
Ce: 0.4202 0.0758 0.7590
Ce: 0.5798 0.9242 0.2410
Ce: 0.7664 0.7664 0.7646
Ce: 0.9242 0.5798 0.2410
Ge: 0.0000 0.0000 0.5000
Ge: 0.3396 0.6604 0.5000
Ge: 0.5000 0.5000 0.0000
Ge: 0.6604 0.3396 0.5000
Rh: 0.1676 0.8324 0.0000
Rh: 0.8324 0.1676 0.0000

2.
Below is Ce4Ge16Rh3 after structural relaxation, with properties calculated at the PBE-GGA level.

Summary:
Fermi-level density of states: 18.27 states/eV/cell
DFT formation energy: -465 meV per atom
total magnetic moment: 0.0001 μB per atom
crystal system: tetragonal
uncorrected energy: -130.37 eV per formula unit

Lattice parameters (Å, degrees): 6.2506 6.2506 11.3169 90.00 90.00 90.00
Atoms (fractional coordinates):
Ce: 0.0000 0.5000 0.1876
Ce: 0.0000 0.5000 0.8124
Ce: 0.5000 0.0000 0.1876
Ce: 0.5000 0.0000 0.8124
Ge: 0.0000 0.0000 0.2065
Ge: 0.0000 0.0000 0.7935
Ge: 0.2151 0.2151 0.0000
Ge: 0.2151 0.7849 0.0000
Ge: 0.2495 0.2495 0.3788
Ge: 0.2495 0.2495 0.6212
Ge: 0.2495 0.7505 0.3788
Ge: 0.2495 0.7505 0.6212
Ge: 0.5000 0.5000 0.2330
Ge: 0.5000 0.5000 0.7670
Ge: 0.7505 0.2495 0.3788
Ge: 0.7505 0.2495 0.6212
Ge: 0.7505 0.7505 0.3788
Ge: 0.7505 0.7505 0.6212
Ge: 0.7849 0.2151 0.0000
Ge: 0.7849 0.7849 0.0000
Rh: 0.0000 0.5000 0.5000
Rh: 0.5000 0.0000 0.5000
Rh: 0.5000 0.5000 0.0000

3.
Below is Ce3Ge2Rh7 after structural relaxation, with properties calculated at the PBE-GGA level.

Summary:
Fermi-level density of states: 11.77 states/eV/cell
DFT formation energy: -769 meV per atom
total magnetic moment: 0.0436 μB per atom
crystal system: orthorhombic
uncorrected energy: -87.72 eV per formula unit
ΔE to the lowest computed polymorph: 0.0 kJ/mol of atoms

Lattice parameters (Å, degrees): 13.2618 13.2618 4.0731 90.00 90.00 162.15
Atoms (fractional coordinates):
Ce: 0.0000 0.0000 0.0000
Ce: 0.1768 0.8232 0.0000
Ce: 0.8232 0.1768 0.0000
Ge: 0.3704 0.6296 0.5000
Ge: 0.6296 0.3704 0.5000
Rh: 0.0790 0.9210 0.5000
Rh: 0.2788 0.7212 0.5000
Rh: 0.4211 0.5789 0.0000
Rh: 0.5000 0.5000 0.5000
Rh: 0.5789 0.4211 0.0000
Rh: 0.7212 0.2788 0.5000
Rh: 0.9210 0.0790 0.5000

4.
Below is Ce3Ge8Rh3 after structural relaxation, with properties calculated at the PBE-GGA level.

Summary:
Fermi-level density of states: 17.61 states/eV/cell
DFT formation energy: -549 meV per atom
total magnetic moment: 0.1208 μB per atom
crystal system: orthorhombic
uncorrected energy: -84.48 eV per formula unit

Lattice parameters (Å, degrees): 8.3362 8.3362 8.3362 150.85 101.88 85.46
Atoms (fractional coordinates):
Ce: 0.0000 0.0000 0.0000
Ce: 0.3124 0.3124 0.0000
Ce: 0.6876 0.6876 0.0000
Ge: 0.0264 0.6548 0.3716
Ge: 0.1732 0.8768 0.2965
Ge: 0.2832 0.6548 0.6284
Ge: 0.4197 0.1232 0.2965
Ge: 0.5803 0.8768 0.7035
Ge: 0.7168 0.3452 0.3716
Ge: 0.8268 0.1232 0.7035
Ge: 0.9736 0.3452 0.6284
Rh: 0.2961 0.5000 0.7961
Rh: 0.5000 0.0000 0.5000
Rh: 0.7039 0.5000 0.2039

5.
Below is CeGeRh2 after structural relaxation, with properties calculated at the PBE-GGA level.

Summary:
Fermi-level density of states: 3.62 states/eV/cell
DFT formation energy: -627 meV per atom
total magnetic moment: 0.0002 μB per atom
crystal system: tetragonal
uncorrected energy: -27.76 eV per formula unit

Lattice parameters (Å, degrees): 4.2988 4.2988 3.8263 90.00 90.00 90.00
Atoms (fractional coordinates):
Ce: 0.0000 0.0000 0.0000
Ge: 0.5000 0.5000 0.0000
Rh: 0.0000 0.5000 0.5000
Rh: 0.5000 0.0000 0.5000

6.
Below is CeGe6Rh6 after structural relaxation, with properties calculated at the PBE-GGA level.

Summary:
Fermi-level density of states: 7.79 states/eV/cell
DFT formation energy: -571 meV per atom
total magnetic moment: 0.0513 μB per atom
crystal system: orthorhombic
uncorrected energy: -85.18 eV per formula unit

Lattice parameters (Å, degrees): 6.8247 6.8247 6.8247 132.24 108.08 91.00
Atoms (fractional coordinates):
Ce: 0.0000 0.0000 0.0000
Ge: 0.1662 0.6662 0.5000
Ge: 0.3329 0.3329 0.0000
Ge: 0.3465 0.0000 0.3465
Ge: 0.6535 0.0000 0.6535
Ge: 0.6671 0.6671 0.0000
Ge: 0.8338 0.3338 0.5000
Rh: 0.0000 0.0000 0.5000
Rh: 0.0000 0.5000 0.0000
Rh: 0.2558 0.5000 0.7558
Rh: 0.5000 0.0000 0.0000
Rh: 0.5000 0.5000 0.5000
Rh: 0.7442 0.5000 0.2442

What is the formula in the sixth record? CeGe6Rh6

What is the total magnetic moment in the first record? 0.1553 μB per atom

What is the uncorrected energy in the fifth record? -27.76 eV per formula unit